(1)
28
Lattice="-5.767 0.511 4.012 -4.830 -5.695 -6.218 3.567 -10.016 6.402" Properties=species:S:1:pos:R:3 comment="meta-GGA SCAN K2WSe4, single point on PBEsol structure" magmom_total_mub_per_cell=0.0 crystal_system=orthorhombic formation_energy_uncorrected_ev_per_atom=-0.93 pbc="T T T"
Se -3.849 -8.157 -1.404
Se -2.383 -2.647 0.003
Se 0.516 -4.398 1.461
Se -4.811 -11.043 0.832
Se -1.621 -10.373 5.333
Se -4.648 -12.553 4.192
Se -2.674 -5.068 -3.040
Se -8.661 -6.373 -2.363
Se -3.181 -7.043 5.599
Se -5.287 -6.217 2.466
Se -7.546 -10.801 2.735
Se -4.356 -10.131 7.236
Se -5.409 -4.826 -1.137
Se -1.743 -8.982 1.730
Se 1.630 -8.826 6.559
Se -2.219 -4.156 3.364
K -1.456 -12.489 2.589
K -7.019 -8.283 0.239
K -2.380 -5.913 0.423
K -4.650 -9.286 3.773
K -1.543 -8.382 8.124
K -0.011 -6.917 3.956
K -5.574 -2.711 1.607
K -5.487 -6.818 -3.928
W 0.674 -10.625 5.413
W -3.994 -5.364 4.216
W -3.036 -9.836 -0.021
W -7.704 -4.574 -1.218

---

(2)
76
Lattice="-0.491 4.075 3.240 -3.854 1.027 -4.866 -19.267 -12.377 12.646" Properties=species:S:1:pos:R:3 comment="meta-GGA SCAN LiNi6P7O24, single point on PBEsol structure" magmom_total_mub_per_cell=23.7 crystal_system=monoclinic formation_energy_uncorrected_ev_per_atom=-2.15 pbc="T T T"
Ni -14.218 -7.576 7.822
Ni -16.844 -9.263 9.545
Ni -2.326 -0.367 1.333
Ni -9.394 0.301 3.198
Ni -13.429 -5.213 4.363
Ni -21.287 -6.908 9.687
Ni -21.021 -10.090 9.346
Ni -2.592 2.815 1.674
Ni -6.769 1.988 1.475
Ni -10.183 -2.062 6.657
Ni -8.231 -4.160 5.209
Ni -15.381 -3.114 5.811
O -19.538 -9.037 12.546
O -20.207 -6.981 11.367
O -5.792 1.541 3.178
O -11.783 -5.442 5.386
O -3.397 1.109 2.319
O -7.884 -1.692 -0.140
O -4.409 -0.472 3.804
O -6.222 -1.636 4.994
O -13.701 -3.236 4.588
O -1.447 2.917 3.327
O -15.504 -7.589 9.537
O -20.216 -8.384 8.700
O -15.660 -7.427 6.423
O -4.074 1.762 -1.526
O -22.165 -10.192 7.692
O -15.728 -5.583 11.160
O -9.174 -2.047 8.399
O -10.332 -3.384 1.351
O -1.398 1.431 0.844
O -7.148 -0.301 6.932
O -11.603 -3.074 3.415
O -22.215 -8.706 10.176
O -17.391 -5.638 6.026
O -14.124 -5.616 8.001
O -5.436 -0.239 -1.863
O -5.522 0.889 0.416
O -12.010 -4.201 7.605
O -9.488 -1.659 3.019
O -13.280 -3.891 9.669
O -18.177 -7.036 12.883
O -18.090 -8.164 10.604
O -9.386 -4.136 3.578
O -14.226 -3.139 7.442
O -19.204 -6.803 7.216
O -9.911 -4.039 6.432
O -14.438 -5.228 2.621
O -20.272 -10.896 10.958
O -8.108 0.314 1.483
O -11.830 -1.833 5.634
O -19.732 -9.073 6.233
O -15.146 -5.127 5.373
O -3.881 1.798 4.787
O -7.953 0.153 4.597
O -3.406 -0.294 -0.347
O -16.464 -6.973 4.088
O -3.340 3.621 0.062
O -8.466 -2.148 5.647
O -17.821 -8.816 7.842
P -3.901 3.333 -1.311
P -8.528 -0.360 0.184
P -4.664 0.502 -0.753
P -7.550 -0.927 5.588
P -16.063 -6.348 5.432
P -18.948 -7.777 11.773
P -19.245 -8.392 7.521
P -13.489 -4.269 8.190
P -10.124 -3.005 2.830
P -12.559 -2.229 4.371
P -11.054 -5.046 6.649
P -15.085 -6.915 10.836
P -4.368 1.117 3.499
P -19.711 -10.607 12.331
Li -16.964 -5.036 9.811
Li -6.648 -2.239 1.209

---

(3)
4
Lattice="-0.037 -0.227 3.110 -1.331 -2.811 -0.221 6.810 -3.212 -0.152" Properties=species:S:1:pos:R:3 comment="meta-GGA SCAN Sc2TcMo, single point on PBEsol structure" magmom_total_mub_per_cell=0.0 e_form_ev_per_atom=-0.138 crystal_system=tetragonal e_above_lowest_polymorph_mev_per_atom=0 pbc="T T T"
Tc 3.591 -1.693 -0.080
Sc 1.362 -2.484 1.399
Sc 6.518 -3.074 -0.146
Mo 4.187 -3.816 1.335

---

(4)
4
Lattice="-2.007 -2.221 0.927 2.877 -3.125 -1.260 1.386 2.717 4.213" Properties=species:S:1:pos:R:3 comment="meta-GGA SCAN ReW3, single point on PBEsol structure" magmom_total_mub_per_cell=0.0 e_form_ev_per_atom=0.009 crystal_system=orthorhombic e_above_lowest_polymorph_mev_per_atom=0 pbc="T T T"
W 2.339 -1.541 1.370
W 0.435 -2.673 -0.167
W -0.083 -1.088 2.509
Re 0.000 0.000 0.000

---

(5)
3
Lattice="3.319 0.000 0.000 0.000 3.319 0.000 -1.659 -1.659 3.929" Properties=species:S:1:pos:R:3 comment="meta-GGA SCAN LiFeTe, single point on PBEsol structure" magmom_total_mub_per_cell=1.0 crystal_system=tetragonal formation_energy_uncorrected_ev_per_atom=0.07 pbc="T T T"
Te 1.659 1.659 1.251
Li 0.000 0.000 2.631
Fe 0.000 0.000 0.046

---

(6)
4
Lattice="4.637 0.000 0.000 2.319 4.016 0.000 2.319 1.339 3.786" Properties=species:S:1:pos:R:3 comment="meta-GGA SCAN LuMgPd2, single point on PBEsol structure" magmom_total_mub_per_cell=0.0 e_form_ev_per_atom=-0.931 crystal_system=cubic pbc="T T T"
Lu 4.637 2.677 1.893
Mg 0.000 0.000 0.000
Pd 2.319 1.339 0.947
Pd 6.956 4.016 2.840

---

(7)
4
Lattice="-3.696 -0.024 -0.683 0.035 -3.758 -0.062 1.141 1.823 4.107" Properties=species:S:1:pos:R:3 comment="meta-GGA SCAN AlCu2Au, single point on PBEsol structure" magmom_total_mub_per_cell=0.0 e_form_ev_per_atom=-0.349 crystal_system=tetragonal pbc="T T T"
Cu 0.000 0.000 0.000
Cu -2.193 -0.046 1.526
Al -1.830 -1.891 -0.372
Au -0.327 -1.913 1.837

---

(8)
4
Lattice="4.354 0.000 0.000 2.177 3.771 0.000 2.177 1.257 3.555" Properties=species:S:1:pos:R:3 comment="meta-GGA SCAN Hf2BrN, single point on PBEsol structure" magmom_total_mub_per_cell=0.0 crystal_system=cubic formation_energy_uncorrected_ev_per_atom=-0.02 e_above_lowest_polymorph_mev_per_atom=666 pbc="T T T"
Hf 6.531 3.771 2.666
Hf 2.177 1.257 0.889
N 0.000 0.000 0.000
Br 4.354 2.514 1.778

---

(9)
6
Lattice="4.631 0.000 0.000 2.315 4.010 0.000 2.315 1.337 3.781" Properties=species:S:1:pos:R:3 comment="meta-GGA SCAN Mn4MoIr, single point on PBEsol structure" magmom_total_mub_per_cell=1.2 e_form_ev_per_atom=-0.033 crystal_system=cubic pbc="T T T"
Mn 3.455 1.995 1.411
Mn 4.631 4.031 1.411
Mn 5.806 1.995 1.411
Mn 4.631 2.674 3.330
Mo 6.946 4.010 2.836
Ir 0.000 0.000 0.000

---

(10)
4
Lattice="-0.476 -3.961 -0.395 0.406 1.589 3.921 -3.264 0.161 2.322" Properties=species:S:1:pos:R:3 comment="meta-GGA SCAN MnBeAs2, single point on PBEsol structure" magmom_total_mub_per_cell=0.0 e_form_ev_per_atom=0.360 crystal_system=tetragonal e_above_lowest_polymorph_mev_per_atom=451 pbc="T T T"
Be -1.870 -1.900 0.964
As -0.732 -0.155 2.442
As -2.602 -2.055 3.406
Mn 0.000 0.000 0.000

---

(11)
4
Lattice="2.925 0.000 0.000 0.000 4.727 0.000 -1.463 -2.363 4.529" Properties=species:S:1:pos:R:3 comment="meta-GGA SCAN YPOs2, single point on PBEsol structure" magmom_total_mub_per_cell=0.0 e_form_ev_per_atom=-0.064 crystal_system=orthorhombic pbc="T T T"
Y 0.000 2.363 0.000
Os 0.000 0.000 1.917
Os 1.463 2.363 2.612
P 1.463 0.000 0.000

---

(12)
5
Lattice="-4.320 -2.231 1.315 3.072 -4.964 1.672 0.556 2.236 5.618" Properties=species:S:1:pos:R:3 comment="meta-GGA SCAN K2MnAlSe, single point on PBEsol structure" magmom_total_mub_per_cell=4.6 crystal_system=tetragonal formation_energy_uncorrected_ev_per_atom=0.16 pbc="T T T"
Al -2.160 -1.115 0.658
K 1.536 -2.482 0.836
K 0.278 1.118 2.809
Se 0.000 0.000 0.000
Mn -0.346 -2.479 4.302

---

(13)
29
Lattice="8.122 0.000 0.000 -2.707 7.657 0.000 -2.707 -3.829 6.631" Properties=species:S:1:pos:R:3 comment="meta-GGA SCAN Li24Ir5, single point on PBEsol structure" magmom_total_mub_per_cell=0.1 e_form_ev_per_atom=-0.032 crystal_system=cubic pbc="T T T"
Li 3.055 -0.445 4.733
Li -1.438 2.732 4.733
Li -1.228 5.599 1.228
Li -0.525 1.384 2.397
Li 4.889 -2.445 4.235
Li 0.348 3.781 2.752
Li -1.228 -1.736 5.462
Li 3.449 1.589 2.752
Li -3.935 3.794 4.235
Li -2.359 -0.048 3.880
Li 3.976 2.192 0.000
Li 3.976 -1.096 1.899
Li -2.359 3.384 1.899
Li 1.480 -0.034 2.397
Li 1.480 2.093 1.169
Li 4.889 4.890 0.000
Li 0.741 4.480 0.000
Li 5.688 0.709 1.228
Li 2.980 6.239 0.000
Li -3.935 1.770 5.403
Li 2.980 -3.120 5.403
Li 0.741 -2.240 3.880
Li 3.055 4.321 1.981
Li 0.348 0.493 4.650
Ir 0.000 0.000 0.000
Ir 2.656 0.000 0.000
Ir -0.885 2.504 0.000
Ir -0.885 -1.252 2.168
Ir 1.822 2.577 4.463

---

(14)
3
Lattice="-2.455 -0.508 -1.184 0.106 -2.619 0.904 -1.405 3.080 4.838" Properties=species:S:1:pos:R:3 comment="meta-GGA SCAN ZnPt2, single point on PBEsol structure" magmom_total_mub_per_cell=0.0 e_form_ev_per_atom=-0.411 crystal_system=tetragonal pbc="T T T"
Pt -1.995 -1.081 1.354
Pt -1.759 1.034 3.203
Zn 0.000 0.000 0.000

---

(15)
60
Lattice="-5.008 -1.659 -4.494 -4.912 -4.461 7.122 -5.359 10.310 2.167" Properties=species:S:1:pos:R:3 comment="meta-GGA SCAN KBOF2, single point on PBEsol structure" magmom_total_mub_per_cell=0.5 crystal_system=monoclinic formation_energy_uncorrected_ev_per_atom=-2.98 pbc="T T T"
F -8.306 3.763 1.644
F -11.538 0.273 3.673
F -3.845 0.101 -1.624
F -7.850 7.435 4.323
F -7.274 1.262 -0.700
F -8.555 -0.258 5.968
F -10.990 2.360 1.218
F -11.434 4.090 6.419
F -12.105 4.287 4.218
F -9.760 5.910 -0.287
F -6.973 0.427 3.151
F -9.880 6.510 4.867
F -8.630 -1.175 3.003
F -8.006 2.928 5.494
F -3.742 3.917 1.122
F -5.518 8.368 2.180
F -5.400 -2.319 -0.072
F -9.762 -4.178 2.615
F -6.724 4.448 -1.173
F -5.520 -1.720 5.082
F -7.429 -3.245 0.472
F -6.650 5.365 1.791
F -3.174 -0.097 0.577
F -4.289 1.830 3.577
B -7.257 4.091 4.990
B -3.217 3.282 -0.085
B -6.727 -1.950 0.415
B -8.552 6.140 4.380
B -7.661 4.684 2.598
B -12.063 0.908 4.880
B -7.618 -0.493 2.197
B -3.137 0.831 -0.566
B -8.022 0.099 -0.195
B -9.285 6.414 -1.575
B -12.142 3.360 5.361
B -5.995 -2.224 6.370
K -8.084 7.814 1.507
K -5.510 2.437 -2.382
K -4.266 -1.049 2.863
K -5.941 2.282 1.476
K -7.195 -3.623 3.288
K -9.338 1.908 3.319
K -5.732 -1.523 -2.697
K -9.243 3.158 -0.826
K -9.548 5.713 7.492
K -6.036 1.033 5.621
K -11.013 5.239 1.932
K -9.770 1.754 7.177
O -6.994 3.904 3.595
O -8.649 5.598 3.064
O -7.359 -1.111 -0.558
O -8.591 7.645 -1.351
O -7.920 5.301 5.353
O -8.576 5.407 -2.291
O -6.704 -1.217 7.086
O -3.866 2.018 -0.262
O -6.631 -1.408 1.731
O -8.285 0.287 1.200
O -6.689 -3.454 6.146
O -11.413 2.172 5.057

---

(16)
4
Lattice="-2.891 2.024 -0.600 -1.914 -2.083 2.194 1.505 3.534 4.668" Properties=species:S:1:pos:R:3 comment="meta-GGA SCAN CaSbPt2, single point on PBEsol structure" magmom_total_mub_per_cell=0.0 crystal_system=tetragonal formation_energy_uncorrected_ev_per_atom=-0.58 pbc="T T T"
Pt 0.352 0.828 1.093
Pt 1.153 2.706 3.575
Sb -2.402 -0.029 0.797
Ca -1.650 1.738 3.131

---

(17)
5
Lattice="-1.340 1.192 -4.179 4.028 -1.300 -1.662 -1.651 -4.245 -0.682" Properties=species:S:1:pos:R:3 comment="meta-GGA SCAN PS2ClO, single point on PBEsol structure" magmom_total_mub_per_cell=0.8 crystal_system=tetragonal formation_energy_uncorrected_ev_per_atom=1.86 e_above_lowest_polymorph_mev_per_atom=936 pbc="T T T"
P -0.826 -2.122 -0.341
S -0.670 0.596 -2.090
S 2.014 -0.650 -0.831
O 0.519 -2.176 -3.262
Cl 0.000 0.000 0.000

---

(18)
10
Lattice="-0.996 1.797 -3.167 -6.280 -4.622 -0.648 -4.187 5.097 4.209" Properties=species:S:1:pos:R:3 comment="meta-GGA SCAN Gd2SnAu2, single point on PBEsol structure" magmom_total_mub_per_cell=29.1 e_form_ev_per_atom=-0.990 crystal_system=tetragonal pbc="T T T"
Au -2.875 -1.080 0.291
Au -3.419 2.609 2.555
Au -7.592 1.555 3.270
Au -7.048 -2.134 1.005
Sn 0.000 0.000 0.000
Sn -5.233 0.237 1.780
Gd -8.511 0.498 0.709
Gd -6.023 3.603 1.688
Gd -5.439 -1.331 -1.295
Gd -2.952 1.774 -0.315

---

(19)
8
Lattice="-1.108 3.708 2.288 -4.008 0.058 -2.035 0.985 -4.223 2.904" Properties=species:S:1:pos:R:3 comment="meta-GGA SCAN LiMnN2, single point on PBEsol structure" magmom_total_mub_per_cell=3.0 crystal_system=tetragonal formation_energy_uncorrected_ev_per_atom=-0.49 e_above_lowest_polymorph_mev_per_atom=0 pbc="T T T"
Li -1.340 0.684 2.659
Li -2.558 1.883 0.127
N -2.300 2.457 2.117
N 0.367 -2.700 2.345
N -3.602 0.138 -0.349
N -2.725 -0.810 2.201
Mn -2.790 -1.141 0.498
Mn 0.000 0.000 0.000

---

| no. | E (eV/atom) |
| --- | --- |
| 1 | -24.7339 |
| 2 | -10.6165 |
| 3 | -24.7426 |
| 4 | -70.0318 |
| 5 | -19.1877 |
| 6 | -32.3974 |
| 7 | -27.1755 |
| 8 | -38.5475 |
| 9 | -29.8670 |
| 10 | -15.3871 |
| 11 | -45.5648 |
| 12 | -12.3885 |
| 13 | -14.2681 |
| 14 | -51.7117 |
| 15 | -8.7905 |
| 16 | -47.4074 |
| 17 | -6.9174 |
| 18 | -59.3629 |
| 19 | -10.2946 |